No. 1
# MoPb2Au (PBE, optimized geometry)
# Excess energy over the best structure of this formula in the dataset = 233 meV per atom
# Space-group type = No. 119
data_MoPb2Au
_chemical_formula_sum 'Mo1 Pb2 Au1'
_space_group_name_H-M_alt 'P 1'
_space_group_IT_number 1
_cell_length_a 5.807
_cell_length_b 5.807
_cell_length_c 5.807
_cell_angle_alpha 137.56
_cell_angle_beta 137.56
_cell_angle_gamma 61.58
loop_
_space_group_symop_operation_xyz
'x,y,z'
loop_
_atom_site_label
_atom_site_fract_x
_atom_site_fract_y
_atom_site_fract_z
Pb1 0.250 0.750 0.500
Pb2 0.000 0.000 0.000
Au1 0.500 0.500 0.000
Mo1 0.750 0.250 0.500

No. 2
# Mo4PbAu (PBE, optimized geometry)
# Space-group type = No. 216
data_Mo4PbAu
_chemical_formula_sum 'Mo4 Pb1 Au1'
_space_group_name_H-M_alt 'P 1'
_space_group_IT_number 1
_cell_length_a 5.361
_cell_length_b 5.361
_cell_length_c 5.361
_cell_angle_alpha 60.00
_cell_angle_beta 60.00
_cell_angle_gamma 60.00
loop_
_space_group_symop_operation_xyz
'x,y,z'
loop_
_atom_site_label
_atom_site_fract_x
_atom_site_fract_y
_atom_site_fract_z
Mo1 0.373 0.882 0.373
Mo2 0.373 0.373 0.373
Mo3 0.882 0.373 0.373
Mo4 0.373 0.373 0.882
Pb1 0.750 0.750 0.750
Au1 0.000 0.000 0.000

No. 3
# MoPb2Au (PBE, optimized geometry)
# Excess energy over the best structure of this formula in the dataset = 179 meV per atom
# Space-group type = No. 123
data_MoPb2Au
_chemical_formula_sum 'Mo1 Pb2 Au1'
_space_group_name_H-M_alt 'P 1'
_space_group_IT_number 1
_cell_length_a 3.692
_cell_length_b 3.690
_cell_length_c 6.362
_cell_angle_alpha 90.00
_cell_angle_beta 90.00
_cell_angle_gamma 90.00
loop_
_space_group_symop_operation_xyz
'x,y,z'
loop_
_atom_site_label
_atom_site_fract_x
_atom_site_fract_y
_atom_site_fract_z
Mo1 0.500 0.500 0.750
Pb1 0.000 0.000 0.508
Pb2 0.000 0.000 0.992
Au1 0.500 0.500 0.250

Here are the calculated calculated total energy numbers, same order: -19.22; -46.72; -19.43 (eV/cell).
Here are the calculated total moment numbers, same order: 1.602; 0.000; 0.191 (μB/f.u.).